[1]
Computed, not measured: a geometry-optimized SnSF2 structure at the GGA-PBE level of DFT.

Values from the calculation:
E (eV/cell): -15.10
Space group: No. 166
Theoretical density (Mg/m³): 4.6
Formation energy from raw total energies (eV per atom): -0.807
Relative energy among the computed polymorphs (eV per atom): 0.203

a b c (Å): 8.126 8.126 8.126
angles (deg): 22.49 22.49 22.49
Positions (direct):
Sn: 0.000 0.000 0.000
S: 0.500 0.500 0.500
F: 0.420 0.420 0.420
F: 0.580 0.580 0.580


[2]
Computed, not measured: a geometry-optimized VBi2Pb structure at the GGA-PBE level of DFT.

Values from the calculation:
E (eV/cell): -18.25
Space group: No. 166
Theoretical density (Mg/m³): 9.5
Calculated formation energy (meV/atom): 586

a b c (Å): 11.970 11.970 11.970
angles (deg): 16.33 16.33 16.33
Positions (direct):
V: 0.000 0.000 0.000
Bi: 0.080 0.080 0.080
Bi: 0.920 0.920 0.920
Pb: 0.500 0.500 0.500